Material: BaCdGe2Pd
Method: DFT, GGA-PBE
State: relaxed

Results
Energy of formation   -0.4739 eV per atom
Crystal system   tetragonal
M_tot   0.00 μB/f.u.
Calculated total energy   -3.927 eV per atom
Energy relative to the lowest polymorph listed for this composition   0 meV/atom

abc: 4.593 4.593 11.046
angles: 90.00 90.00 90.00
Fractional coordinates of all 10 atoms:
Ba 0.000 0.000 0.000
Ba 0.500 0.500 0.500
Cd 0.000 0.500 0.750
Cd 0.500 0.000 0.250
Ge 0.000 0.000 0.382
Ge 0.000 0.000 0.618
Ge 0.500 0.500 0.118
Ge 0.500 0.500 0.882
Pd 0.000 0.500 0.250
Pd 0.500 0.000 0.750